This record from Alexandria via LeMat-Bulk describes an optimized crystal structure of NaSr3Pt. The functional is PBE.

a = 9.7132 Å, b = 9.7132 Å, c = 9.7132 Å
α = 111.38°, β = 111.38°, γ = 105.72°
With the nearest neighbours (Å) after each atom.
Fractional positions:
Na (0.0000, 0.0000, 0.0000)  6 Sr 3.32-3.63
Na (0.7500, 0.2500, 0.5000)  4 Sr 3.67
Sr (0.0035, 0.3069, 0.3034)  1 Pt 2.68
Sr (0.0035, 0.7002, 0.6966)  1 Pt 2.68
Sr (0.2998, 0.9965, 0.3034)  1 Pt 2.68
Sr (0.3099, 0.3099, 0.0000)  1 Na 3.63
Sr (0.6901, 0.6901, 0.0000)  1 Na 3.63
Sr (0.6931, 0.9965, 0.6966)  1 Pt 2.68
Pt (0.1401, 0.6401, 0.5000)  1 Pt 2.58, 2 Sr 2.68
Pt (0.3599, 0.8599, 0.5000)  1 Pt 2.58, 2 Sr 2.68

## Properties
- symmetry = I-4m2, No. 119
- DFT formation energy (eV per atom) = 0.4370
- magnetic moment (μB per formula unit) = 0.0
- DFT total energy (eV per cell) = -20.44
- DOS(E_F) (states/eV/cell) = 5.65